# 1
{
  "formula": "MnNiHg2",
  "functional": "PBE-GGA",
  "state": "optimized geometry",
  "formation_enthalpy_0k_kj_per_mol_atoms": 31.4,
  "crystal_system": "monoclinic",
  "sg": "C2/m",
  "de_polymorph_mev_per_atom": 67.8,
  "final_energy_ev_per_cell": -14.252,
  "lattice_angstrom": [[4.460, -1.591, 0.000], [4.460, 1.591, 0.000], [-1.174, 0.000, 4.977]],
  "species": ["Mn", "Ni", "Hg", "Hg"],
  "fractional_positions": [[0.000, 0.000, 0.000], [0.500, 0.500, 0.500], [0.244, 0.244, 0.741], [0.756, 0.756, 0.259]]
}

# 2
{
  "formula": "Mg4AgPdAu2",
  "functional": "PBE-GGA",
  "state": "optimized geometry",
  "formation_enthalpy_0k_kj_per_mol_atoms": -53.8,
  "crystal_system": "trigonal",
  "sg": "R-3m",
  "final_energy_ev_per_cell": -25.439,
  "lattice_angstrom": [[2.319, 1.339, 7.539], [-2.319, 1.339, 7.539], [0.000, -2.678, 7.539]],
  "species": ["Mg", "Mg", "Mg", "Mg", "Ag", "Pd", "Au", "Au"],
  "fractional_positions": [[0.122, 0.122, 0.122], [0.372, 0.372, 0.372], [0.628, 0.628, 0.628], [0.878, 0.878, 0.878], [0.500, 0.500, 0.500], [0.000, 0.000, 0.000], [0.249, 0.249, 0.249], [0.751, 0.751, 0.751]]
}

# 3
{
  "formula": "KInHgPb",
  "functional": "PBE-GGA",
  "state": "optimized geometry",
  "formation_enthalpy_0k_kj_per_mol_atoms": -12.0,
  "crystal_system": "tetragonal",
  "sg": "P4mm",
  "de_polymorph_mev_per_atom": 0.0,
  "final_energy_ev_per_cell": -8.346,
  "lattice_angstrom": [[3.831, 0.000, 0.000], [0.000, 3.831, 0.000], [0.000, 0.000, 8.653]],
  "species": ["K", "In", "Hg", "Pb"],
  "fractional_positions": [[0.000, 0.000, 0.000], [0.000, 0.000, 0.475], [0.500, 0.500, 0.264], [0.500, 0.500, 0.687]]
}

Quick rundown of DOS at the Fermi energy, same order as above: 0.509 0.360 0.307 states/eV/atom